[1]
The following is a DFT calculation (PBE-GGA) of Ca2Mg7Zn3 after structural relaxation.

```
Ca2Mg7Zn3
1.0
-12.043 1.363 0.804
-11.387 -2.919 -3.058
-11.138 -4.073 2.624
Mg Zn Ca
7 3 2
direct
0.500 0.500 0.500 Mg
0.410 0.410 0.909 Mg
0.410 0.909 0.410 Mg
0.909 0.410 0.410 Mg
0.590 0.590 0.091 Mg
0.091 0.590 0.590 Mg
0.590 0.091 0.590 Mg
0.000 0.000 0.000 Zn
0.927 0.927 0.927 Zn
0.073 0.073 0.073 Zn
0.670 0.670 0.670 Ca
0.330 0.330 0.330 Ca
```

Formation energy from the elements = 0.20 eV per atom
SG = R-3m, No. 166
Total magnetization = 0.000 μB/atom

[2]
The following is a DFT calculation (PBE-GGA) of HfPS after structural relaxation.

```
HfPS
1.0
-0.437 3.232 -1.477
-2.846 0.573 2.096
4.630 3.111 5.437
P S Hf
2 2 2
direct
0.000 0.000 0.000 P
0.500 0.500 0.000 P
0.000 0.500 0.375 S
0.500 0.000 0.625 S
0.000 0.500 0.745 Hf
0.500 0.000 0.255 Hf
```

Raw formation energy = -1.161 eV per atom
SG = P4/nmm, No. 129
Total magnetization = 0.000 μB/atom

[3]
The following is a DFT calculation (PBE-GGA) of AgRu2Br after structural relaxation.

```
AgRu2Br
1.0
4.195 0.000 0.000
0.000 2.999 -0.010
0.000 1.295 5.250
Ru Br Ag
2 1 1
direct
0.000 0.879 0.979 Ru
0.000 0.621 0.521 Ru
0.500 0.750 0.750 Br
0.500 0.250 0.250 Ag
```

Raw formation energy = 0.916 eV per atom
SG = P2/m, No. 10
Total magnetization = 0.000 μB/atom

[4]
The following is a DFT calculation (PBE-GGA) of ZnCrAsPd2 after structural relaxation.

```
ZnCrAsPd2
1.0
4.567 0.000 0.000
0.000 4.534 0.000
0.000 0.000 4.567
Cr As Zn Pd
1 1 1 2
direct
0.000 0.500 0.000 Cr
0.500 0.500 0.500 As
0.000 0.000 0.000 Zn
0.000 0.000 0.500 Pd
0.500 0.000 0.000 Pd
```

Formation energy from the elements = 0.98 eV per atom
SG = P4/mmm, No. 123
Total magnetization = 0.008 μB/atom